[1]
Computed, not measured: crystalline CrCd2Re at its relaxed geometry at the PBE-GGA level of DFT.

Unit cell a=2.8199 b=2.8199 c=8.8655 alpha=90.00 beta=90.00 gamma=90.00
Site moments in Bohr magnetons follow the coordinates.
Fractional coordinates of all 4 atoms:
Cd  0.0000  0.0000  0.4958  -0.02
Re  0.5000  0.5000  0.7500  0.04
Cd  0.0000  0.0000  0.0042  -0.02
Cr  0.5000  0.5000  0.2500  3.50

Calculated values
total DFT energy (no corrections) = -5.270 eV/atom
formation energy from the elements = 0.71 eV per atom
density of states at the Fermi level = 0.87 states/eV/atom
ρ = 10.9 g cm⁻³
energy above the most stable polymorph in this dataset = 412 meV per atom

[2]
Computed, not measured: crystalline Sm5GaS5 at its relaxed geometry at the PBE-GGA level of DFT.

Unit cell a=5.7151 b=7.0431 c=8.1655 alpha=106.88 beta=90.00 gamma=113.94
Fractional coordinates of all 11 atoms:
S  0.3281  0.6563  0.6686
S  0.6733  0.3466  0.8433
Sm  0.8376  0.6753  0.1773
Sm  0.1679  0.3358  0.3403
Sm  0.1624  0.3247  0.8227
Sm  0.8321  0.6642  0.6597
S  0.3267  0.6534  0.1567
S  0.6719  0.3437  0.3314
Ga  0.0000  0.0000  0.0000
Sm  0.5000  0.0000  0.0000
S  0.0000  0.0000  0.5000

Calculated values
total DFT energy (no corrections) = -6.053 eV/atom
density of states at the Fermi level = 0.25 states/eV/atom
formation energy from raw total energies = -1756 meV per atom
ρ = 5.7 g cm⁻³